--- i ---
# BeCrOs | the Alexandria database | PBE-GGA | relaxed
data_BeCrOs
_symmetry_space_group_name_H-M 'C m c m'
_symmetry_Int_Tables_number 63
_symmetry_space_group_name_Hall '-C 2c 2'
_cell_length_a 4.080
_cell_length_b 8.173
_cell_length_c 4.108
_cell_angle_alpha 90.00
_cell_angle_beta 90.00
_cell_angle_gamma 90.00
loop_
_atom_site_label
_atom_site_type_symbol
_atom_site_fract_x
_atom_site_fract_y
_atom_site_fract_z
Be1 Be 0.000 0.246 0.250
Cr1 Cr 0.000 0.083 0.750
Os1 Os 0.000 0.405 0.750
# D(E_F)	10.50	states/eV/cell

=====

--- ii ---
# BeCrOs | the Alexandria database | PBE-GGA | relaxed
data_BeCrOs
_symmetry_space_group_name_H-M 'C 1 2/m 1'
_symmetry_Int_Tables_number 12
_cell_length_a 8.262
_cell_length_b 4.080
_cell_length_c 4.756
_cell_angle_alpha 90.00
_cell_angle_beta 121.04
_cell_angle_gamma 90.00
loop_
_symmetry_equiv_pos_as_xyz
'x,y,z'
'-x,-y,-z'
'-x,y,-z'
'x,-y,z'
'x+1/2,y+1/2,z'
'-x+1/2,-y+1/2,-z'
'-x+1/2,y+1/2,-z'
'x+1/2,-y+1/2,z'
loop_
_atom_site_label
_atom_site_type_symbol
_atom_site_fract_x
_atom_site_fract_y
_atom_site_fract_z
Be1 Be 0.158 0.000 0.235
Cr1 Cr 0.006 0.500 0.264
Os1 Os 0.173 0.000 0.752
# D(E_F)	7.14	states/eV/cell

=====

--- iii ---
# BeCrOs | the Alexandria database | PBE-GGA | relaxed
data_BeCrOs
_symmetry_space_group_name_H-M 'P -1'
_symmetry_Int_Tables_number 2
_cell_length_a 4.221
_cell_length_b 4.390
_cell_length_c 4.577
_cell_angle_alpha 70.66
_cell_angle_beta 71.54
_cell_angle_gamma 62.82
loop_
_symmetry_equiv_pos_as_xyz
'x,y,z'
'-x,-y,-z'
loop_
_atom_site_label
_atom_site_type_symbol
_atom_site_fract_x
_atom_site_fract_y
_atom_site_fract_z
Be1 Be 0.207 0.413 0.279
Cr1 Cr 0.123 0.913 0.756
Os1 Os 0.430 0.259 0.762
# D(E_F)	4.26	states/eV/cell

=====

Stability comparison, relative energies in kJ/mol of atoms: i 0.0; ii 1.7; iii 7.7

=====

--- i ---
# BeCrOs | the Alexandria database | PBE-GGA | relaxed
data_BeCrOs
_symmetry_space_group_name_H-M 'C 1 m 1'
_symmetry_Int_Tables_number 8
_cell_length_a 8.226
_cell_length_b 4.079
_cell_length_c 4.919
_cell_angle_alpha 90.00
_cell_angle_beta 122.60
_cell_angle_gamma 90.00
loop_
_symmetry_equiv_pos_as_xyz
'x,y,z'
'x,-y,z'
'x+1/2,y+1/2,z'
'x+1/2,-y+1/2,z'
loop_
_atom_site_label
_atom_site_type_symbol
_atom_site_fract_x
_atom_site_fract_y
_atom_site_fract_z
Be1 Be 0.000 0.000 0.000
Be2 Be 0.184 0.500 0.542
Cr1 Cr 0.016 0.000 0.520
Cr2 Cr 0.339 0.000 0.007
Os1 Os 0.178 0.500 0.028
Os2 Os 0.335 0.000 0.502
# D(E_F)	9.54	states/eV/cell

=====

--- ii ---
# BeCrOs | the Alexandria database | PBE-GGA | relaxed
data_BeCrOs
_symmetry_space_group_name_H-M 'F m m m'
_symmetry_Int_Tables_number 69
_symmetry_space_group_name_Hall '-F 2 2'
_cell_length_a 4.474
_cell_length_b 7.641
_cell_length_c 7.823
_cell_angle_alpha 90.00
_cell_angle_beta 90.00
_cell_angle_gamma 90.00
loop_
_atom_site_label
_atom_site_type_symbol
_atom_site_fract_x
_atom_site_fract_y
_atom_site_fract_z
Be1 Be 0.250 0.250 0.250
Cr1 Cr 0.000 0.155 0.000
Os1 Os 0.000 0.000 0.339
# D(E_F)	19.96	states/eV/cell

=====

Stability comparison, relative energies in kJ/mol of atoms: i 12.3; ii 0.0

=====

--- i ---
# BeCrOs | the Alexandria database | PBE-GGA | relaxed
data_BeCrOs
_symmetry_space_group_name_H-M 'I 4 m m'
_symmetry_Int_Tables_number 107
_symmetry_space_group_name_Hall 'I 4 -2'
_cell_length_a 2.903
_cell_length_b 2.903
_cell_length_c 8.144
_cell_angle_alpha 90.00
_cell_angle_beta 90.00
_cell_angle_gamma 90.00
loop_
_atom_site_label
_atom_site_type_symbol
_atom_site_fract_x
_atom_site_fract_y
_atom_site_fract_z
Be1 Be 0.000 0.000 0.000
Cr1 Cr 0.000 0.000 0.338
Os1 Os 0.000 0.000 0.667
# D(E_F)	3.21	states/eV/cell

=====

--- ii ---
# BeCrOs | the Alexandria database | PBE-GGA | relaxed
data_BeCrOs
_symmetry_space_group_name_H-M 'C 1 2/m 1'
_symmetry_Int_Tables_number 12
_cell_length_a 8.702
_cell_length_b 2.882
_cell_length_c 5.807
_cell_angle_alpha 90.00
_cell_angle_beta 109.14
_cell_angle_gamma 90.00
loop_
_symmetry_equiv_pos_as_xyz
'x,y,z'
'-x,-y,-z'
'-x,y,-z'
'x,-y,z'
'x+1/2,y+1/2,z'
'-x+1/2,-y+1/2,-z'
'-x+1/2,y+1/2,-z'
'x+1/2,-y+1/2,z'
loop_
_atom_site_label
_atom_site_type_symbol
_atom_site_fract_x
_atom_site_fract_y
_atom_site_fract_z
Be1 Be 0.000 0.000 0.000
Be2 Be 0.000 0.000 0.500
Cr1 Cr 0.175 0.500 0.350
Os1 Os 0.155 0.500 0.825
# D(E_F)	4.99	states/eV/cell

=====

Stability comparison, relative energies in kJ/mol of atoms: i 0.0; ii 1.3

=====

--- i ---
# BeCrOs | the Alexandria database | PBE-GGA | relaxed
data_BeCrOs
_symmetry_space_group_name_H-M 'P n m a'
_symmetry_Int_Tables_number 62
_cell_length_a 4.725
_cell_length_b 4.153
_cell_length_c 6.988
_cell_angle_alpha 90.00
_cell_angle_beta 90.00
_cell_angle_gamma 90.00
loop_
_symmetry_equiv_pos_as_xyz
'x,y,z'
'-x,-y,-z'
'-x+1/2,-y,z+1/2'
'x+1/2,y,-z+1/2'
'x+1/2,-y+1/2,-z+1/2'
'-x+1/2,y+1/2,z+1/2'
'-x,y+1/2,-z'
'x,-y+1/2,z'
loop_
_atom_site_label
_atom_site_type_symbol
_atom_site_fract_x
_atom_site_fract_y
_atom_site_fract_z
Be1 Be 0.181 0.250 0.065
Cr1 Cr 0.016 0.750 0.251
Os1 Os 0.183 0.250 0.407
# D(E_F)	8.35	states/eV/cell

=====

--- ii ---
# BeCrOs | the Alexandria database | PBE-GGA | relaxed
data_BeCrOs
_symmetry_space_group_name_H-M 'F m m 2'
_symmetry_Int_Tables_number 42
_symmetry_space_group_name_Hall 'F 2 -2'
_cell_length_a 2.861
_cell_length_b 4.281
_cell_length_c 11.783
_cell_angle_alpha 90.00
_cell_angle_beta 90.00
_cell_angle_gamma 90.00
loop_
_atom_site_label
_atom_site_type_symbol
_atom_site_fract_x
_atom_site_fract_y
_atom_site_fract_z
Be1 Be 0.000 0.000 0.000
Cr1 Cr 0.000 0.000 0.658
Os1 Os 0.000 0.000 0.335
# D(E_F)	10.01	states/eV/cell

=====

Stability comparison, relative energies in kJ/mol of atoms: i 0.0; ii 24.9